Record 1
{
  "formula": "YFe5P3",
  "functional": "GGA-PBEsol",
  "state": "optimized geometry",
  "density_kg_m3": 7209,
  "delta_e_f_ev_per_atom": -0.85,
  "lattice_angstrom": [[11.634, 0.000, 0.000], [0.000, 3.607, 0.000], [0.000, 0.000, 10.124]],
  "species": ["Y", "Y", "Y", "Y", "Fe", "Fe", "Fe", "Fe", "Fe", "Fe", "Fe", "Fe", "Fe", "Fe", "Fe", "Fe", "Fe", "Fe", "Fe", "Fe", "Fe", "Fe", "Fe", "Fe", "P", "P", "P", "P", "P", "P", "P", "P", "P", "P", "P", "P"],
  "fractional_positions": [[0.204, 0.250, 0.081], [0.296, 0.750, 0.581], [0.704, 0.250, 0.419], [0.796, 0.750, 0.919], [0.010, 0.750, 0.095], [0.011, 0.750, 0.705], [0.066, 0.750, 0.464], [0.175, 0.250, 0.780], [0.201, 0.250, 0.377], [0.299, 0.750, 0.877], [0.325, 0.750, 0.280], [0.434, 0.250, 0.964], [0.489, 0.250, 0.205], [0.490, 0.250, 0.595], [0.510, 0.750, 0.405], [0.511, 0.750, 0.795], [0.566, 0.750, 0.036], [0.675, 0.250, 0.720], [0.701, 0.250, 0.123], [0.799, 0.750, 0.623], [0.825, 0.750, 0.220], [0.934, 0.250, 0.536], [0.989, 0.250, 0.295], [0.990, 0.250, 0.905], [0.104, 0.750, 0.897], [0.113, 0.250, 0.579], [0.130, 0.750, 0.267], [0.370, 0.250, 0.767], [0.387, 0.750, 0.079], [0.396, 0.250, 0.397], [0.604, 0.750, 0.603], [0.613, 0.250, 0.921], [0.630, 0.750, 0.233], [0.870, 0.250, 0.733], [0.887, 0.750, 0.421], [0.896, 0.250, 0.103]]
}

---

Record 2
{
  "formula": "YFeP2",
  "functional": "GGA-PBEsol",
  "state": "optimized geometry",
  "density_kg_m3": 5484,
  "delta_e_f_ev_per_atom": -0.92,
  "lattice_angstrom": [[1.831, 1.057, 5.389], [-1.831, 1.057, 5.389], [0.000, -2.114, 5.389]],
  "species": ["Y", "Fe", "P", "P"],
  "fractional_positions": [[0.000, 0.000, 0.000], [0.814, 0.814, 0.814], [0.213, 0.213, 0.213], [0.442, 0.442, 0.442]]
}

---

Record 3
{
  "formula": "Y2FeP",
  "functional": "GGA-PBEsol",
  "state": "optimized geometry",
  "density_kg_m3": 6429,
  "delta_e_f_ev_per_atom": 0.03,
  "lattice_angstrom": [[0.000, 3.245, 3.245], [3.245, 0.000, 3.245], [3.245, 3.245, 0.000]],
  "species": ["Y", "Y", "Fe", "P"],
  "fractional_positions": [[0.000, 0.000, 0.000], [0.250, 0.250, 0.250], [0.750, 0.750, 0.750], [0.500, 0.500, 0.500]]
}

---

Record 4
{
  "formula": "Y2FeP",
  "functional": "GGA-PBEsol",
  "state": "optimized geometry",
  "density_kg_m3": 5719,
  "delta_e_f_ev_per_atom": -0.33,
  "lattice_angstrom": [[3.123, 0.000, 0.000], [0.000, 3.123, 0.000], [0.000, 0.000, 7.876]],
  "species": ["Y", "Y", "Fe", "P"],
  "fractional_positions": [[0.000, 0.000, 0.000], [0.500, 0.500, 0.388], [0.000, 0.000, 0.639], [0.500, 0.500, 0.753]]
}

---

Record 5
{
  "formula": "YFeP",
  "functional": "GGA-PBEsol",
  "state": "optimized geometry",
  "density_kg_m3": 5724,
  "delta_e_f_ev_per_atom": -0.42,
  "lattice_angstrom": [[0.000, 2.943, 2.943], [2.943, 0.000, 2.943], [2.943, 2.943, 0.000]],
  "species": ["Y", "Fe", "P"],
  "fractional_positions": [[0.000, 0.000, 0.000], [0.250, 0.250, 0.250], [0.500, 0.500, 0.500]]
}

---

Record 6
{
  "formula": "YFeP2",
  "functional": "GGA-PBEsol",
  "state": "optimized geometry",
  "density_kg_m3": 6008,
  "delta_e_f_ev_per_atom": -0.42,
  "lattice_angstrom": [[2.864, 0.000, 0.000], [0.000, 3.085, 0.000], [0.000, 0.000, 6.465]],
  "species": ["Y", "Fe", "P", "P"],
  "fractional_positions": [[0.000, 0.000, 0.000], [0.000, 0.000, 0.500], [0.500, 0.500, 0.309], [0.500, 0.500, 0.691]]
}

---

What did the fourth record say?
{
  "formula": "Y2FeP",
  "functional": "GGA-PBEsol",
  "state": "optimized geometry",
  "density_kg_m3": 5719,
  "delta_e_f_ev_per_atom": -0.33,
  "lattice_angstrom": [[3.123, 0.000, 0.000], [0.000, 3.123, 0.000], [0.000, 0.000, 7.876]],
  "species": ["Y", "Y", "Fe", "P"],
  "fractional_positions": [[0.000, 0.000, 0.000], [0.500, 0.500, 0.388], [0.000, 0.000, 0.639], [0.500, 0.500, 0.753]]
}